Entry from Alexandria via LeMat-Bulk: a geometry-optimized NbTeMo2Au structure (PBE).

Cell: 4.8031 5.1556 4.8031 Å, 90.00 90.00 90.00°
Sites, in units of the cell vectors:
Nb: 0.0000 0.0000 0.0000
Mo: 0.5000 0.0000 0.0000
Mo: 0.0000 0.0000 0.5000
Au: 0.0000 0.5000 0.0000
Te: 0.5000 0.5000 0.5000

Values from the calculation:
Energy relative to the elements, uncorrected ... 1506 meV per atom
N(E_F) ... 4.82 states/eV/cell
E_tot ... -6.12 eV/atom
Crystal system ... tetragonal
Spin magnetization ... 1.14 μB per formula unit

---

Entry from Alexandria via LeMat-Bulk: a geometry-optimized TiNbMoAu structure (PBE).

Cell: 4.5810 4.5810 4.5810 Å, 60.00 60.00 60.00°
Sites, in units of the cell vectors:
Nb: 0.2500 0.2500 0.2500
Mo: 0.5000 0.5000 0.5000
Au: 0.0000 0.0000 0.0000
Ti: 0.7500 0.7500 0.7500

Values from the calculation:
Energy of formation from the pure elements ... -0.37 eV/f.u.
N(E_F) ... 4.44 states/eV/cell
E_tot ... -8.11 eV/atom
Crystal system ... cubic
Spin magnetization ... 0.00 μB per formula unit

---

Entry from Alexandria via LeMat-Bulk: a geometry-optimized NbVMoAu2 structure (PBE).

Cell: 4.8259 4.2989 4.8259 Å, 90.00 90.00 90.00°
Sites, in units of the cell vectors:
V: 0.0000 0.0000 0.0000
Au: 0.0000 0.0000 0.5000
Au: 0.5000 0.0000 0.0000
Nb: 0.5000 0.5000 0.5000
Mo: 0.0000 0.5000 0.0000

Values from the calculation:
Energy of formation from the pure elements ... 5.75 eV/f.u.
N(E_F) ... 6.70 states/eV/cell
E_tot ... -6.16 eV/atom
Crystal system ... tetragonal
Spin magnetization ... 0.00 μB per formula unit